one) VASP calculation (PBE) on a relaxed Rb2Hg crystal.

* crystal system: triclinic

Cell: 5.2163 7.4759 9.6428 Å, 78.82 74.54 89.99°
Space group P-1 (No. 2)
Inequivalent atoms, fractional coordinates:
Rb 0.0857 0.2914 0.3335 x2
Rb 0.3389 0.1686 0.8201 x2
Hg 0.2669 0.6195 0.9658 x2

***

two) VASP calculation (PBE) on a relaxed Rb2Hg crystal.

* crystal system: triclinic

Cell: 6.2598 6.2746 6.2910 Å, 60.32 60.25 60.15°
Space group P-1 (No. 2)
Inequivalent atoms, fractional coordinates:
Rb 0.2492 0.2500 0.2519 x2
Hg 0.0000 0.0000 0.0000 x1

***

Energies relative to the most stable structure, in kJ/mol of atoms: one) 0.0; two) 3.2.

***

one) VASP calculation (PBE) on a relaxed Rb2Hg crystal.

* crystal system: tetragonal

Cell: 4.6024 4.6024 16.0637 Å, 90.00 90.00 90.00°
Space group I4/mmm (No. 139)
Inequivalent atoms, fractional coordinates:
Rb 0.0000 0.0000 0.1334 x4
Hg 0.0000 0.0000 0.5000 x2

***

two) VASP calculation (PBE) on a relaxed Rb2Hg crystal.

* crystal system: cubic

Cell: 12.2925 12.2925 12.2925 Å, 90.00 90.00 90.00°
Space group Fd-3m (No. 227, origin choice 2)
Inequivalent atoms, fractional coordinates:
Rb 0.0000 0.0000 0.0000 x16
Hg 0.1250 0.1250 0.6250 x8

***

Energies relative to the most stable structure, in kJ/mol of atoms: one) 0.0; two) 24.6.

***

one) VASP calculation (PBE) on a relaxed Rb13Hg2 crystal.

* crystal system: trigonal

Cell: 12.4231 12.4231 26.3285 Å, 90.00 90.00 120.00°
Space group R-3m (No. 166, hexagonal axes)
Inequivalent atoms, fractional coordinates:
Rb 0.0000 0.0000 0.0000 x3
Rb 0.0641 0.5320 0.2389 x18
Rb 0.0887 0.5444 0.4210 x18
Hg 0.0000 0.0000 0.1380 x6

***

two) VASP calculation (PBE) on a relaxed Rb13Hg2 crystal.

* crystal system: triclinic

Cell: 9.2217 11.0819 12.5349 Å, 64.69 80.77 78.06°
Space group P-1 (No. 2)
Inequivalent atoms, fractional coordinates:
Rb 0.0000 0.0000 0.0000 x1
Rb 0.0427 0.1832 0.3425 x2
Rb 0.1650 0.6774 0.3555 x2
Rb 0.2318 0.5765 0.0064 x2
Rb 0.2878 0.3516 0.7439 x2
Rb 0.4673 0.0849 0.1390 x2
Rb 0.4894 0.7753 0.5723 x2
Hg 0.2009 0.0528 0.6702 x2

***

Energies relative to the most stable structure, in kJ/mol of atoms: one) 3.3; two) 0.0.

***

one) VASP calculation (PBE) on a relaxed RbHg7 crystal.

* crystal system: cubic

Cell: 10.0937 10.0937 10.0937 Å, 90.00 90.00 90.00°
Space group Fm-3m (No. 225)
Inequivalent atoms, fractional coordinates:
Rb 0.0000 0.0000 0.0000 x4
Hg 0.0000 0.0000 0.5000 x4
Hg 0.0000 0.2500 0.2500 x24

***

two) VASP calculation (PBE) on a relaxed RbHg7 crystal.

* crystal system: hexagonal

Cell: 7.1429 7.1429 5.7292 Å, 90.00 90.00 120.00°
Space group P-6m2 (No. 187)
Inequivalent atoms, fractional coordinates:
Rb 0.0000 0.0000 0.0000 x1
Hg 0.0034 0.5017 0.0000 x3
Hg 0.3333 0.6667 0.5000 x1
Hg 0.3592 0.1796 0.5000 x3

***

Energies relative to the most stable structure, in kJ/mol of atoms: one) 1.4; two) 0.0.

***

one) VASP calculation (PBE) on a relaxed RbHg5 crystal.

* crystal system: orthorhombic

Cell: 5.2120 6.4181 6.5629 Å, 90.00 90.00 90.00°
Space group Pmmm (No. 47)
Inequivalent atoms, fractional coordinates:
Rb 0.0000 0.0000 0.0000 x1
Hg 0.0000 0.5000 0.2697 x2
Hg 0.5000 0.2381 0.5000 x2
Hg 0.5000 0.5000 0.0000 x1

***

two) VASP calculation (PBE) on a relaxed RbHg5 crystal.

* crystal system: cubic

Cell: 9.1746 9.1746 9.1746 Å, 90.00 90.00 90.00°
Space group F-43m (No. 216)
Inequivalent atoms, fractional coordinates:
Rb 0.0000 0.0000 0.0000 x4
Hg 0.1245 0.1245 0.3755 x16
Hg 0.2500 0.2500 0.7500 x4

***

Energies relative to the most stable structure, in kJ/mol of atoms: one) 2.8; two) 0.0.

***

one) VASP calculation (PBE) on a relaxed Rb5Hg4 crystal.

* crystal system: monoclinic

Cell: 11.1390 6.4457 12.7170 Å, 90.00 107.21 90.00°
Space group C2/m (No. 12)
Inequivalent atoms, fractional coordinates:
Rb 0.0000 0.0000 0.0000 x2
Rb 0.1358 0.0000 0.4050 x4
Rb 0.2332 0.5000 0.1974 x4
Hg 0.0414 0.5000 0.6271 x4
Hg 0.1253 0.5000 0.8776 x4

***

two) VASP calculation (PBE) on a relaxed Rb5Hg4 crystal.

* crystal system: monoclinic

Cell: 13.5292 5.2538 13.2550 Å, 90.00 107.93 90.00°
Space group C2/m (No. 12)
Inequivalent atoms, fractional coordinates:
Rb 0.0000 0.0000 0.0000 x2
Rb 0.1136 0.0000 0.3982 x4
Rb 0.2359 0.0000 0.8136 x4
Hg 0.0313 0.5000 0.8093 x4
Hg 0.0940 0.5000 0.6065 x4

***

Energies relative to the most stable structure, in kJ/mol of atoms: one) 2.4; two) 0.0.

***

one) VASP calculation (PBE) on a relaxed Rb2Hg7 crystal.

* crystal system: trigonal

Cell: 6.4924 6.4924 49.0894 Å, 90.00 90.00 120.00°
Space group R-3m (No. 166, hexagonal axes)
Inequivalent atoms, fractional coordinates:
Rb 0.0000 0.0000 0.0518 x6
Rb 0.0000 0.0000 0.1501 x6
Hg 0.0000 0.0000 0.2783 x6
Hg 0.0000 0.0000 0.3896 x6
Hg 0.0000 0.0000 0.5000 x3
Hg 0.0000 0.5000 0.0000 x9
Hg 0.0055 0.5028 0.8887 x18

***

two) VASP calculation (PBE) on a relaxed Rb2Hg7 crystal.

* crystal system: trigonal

Cell: 7.2234 7.2234 6.6698 Å, 90.00 90.00 120.00°
Space group P-3m1 (No. 164)
Inequivalent atoms, fractional coordinates:
Rb 0.3333 0.6667 0.1595 x2
Hg 0.0000 0.0000 0.0000 x1
Hg 0.1810 0.3620 0.6657 x6

***

Energies relative to the most stable structure, in kJ/mol of atoms: one) 3.4; two) 0.0.

***

one) VASP calculation (PBE) on a relaxed Rb5Hg crystal.

* crystal system: tetragonal

Cell: 9.6441 9.6441 18.7050 Å, 90.00 90.00 90.00°
Space group I4/mcm (No. 140)
Inequivalent atoms, fractional coordinates:
Rb 0.0000 0.0000 0.0000 x4
Rb 0.1692 0.3308 0.1501 x16
Hg 0.0000 0.0000 0.2500 x4

***

two) VASP calculation (PBE) on a relaxed Rb5Hg crystal.

* crystal system: orthorhombic

Cell: 6.6136 19.3689 6.6140 Å, 90.00 90.00 90.00°
Space group Cmmm (No. 65)
Inequivalent atoms, fractional coordinates:
Rb 0.0000 0.0000 0.0000 x2
Rb 0.0000 0.1508 0.5000 x4
Rb 0.0000 0.3483 0.0000 x4
Hg 0.0000 0.5000 0.5000 x2

***

three) VASP calculation (PBE) on a relaxed Rb5Hg crystal.

* crystal system: orthorhombic

Cell: 13.8441 5.4946 11.4036 Å, 90.00 90.00 90.00°
Space group Pmma (No. 51)
Inequivalent atoms, fractional coordinates:
Rb 0.0000 0.0000 0.0000 x2
Rb 0.0788 0.5000 0.3126 x4
Rb 0.2500 0.0000 0.5848 x2
Rb 0.2500 0.5000 0.9380 x2
Hg 0.2500 0.0000 0.1792 x2

***

Energies relative to the most stable structure, in kJ/mol of atoms: one) 1.8; two) 4.2; three) 0.0.

***

one) VASP calculation (PBE) on a relaxed Rb3Hg2 crystal.

* crystal system: trigonal

Cell: 8.9359 8.9359 24.4635 Å, 90.00 90.00 120.00°
Space group R-3c (No. 167, hexagonal axes)
Inequivalent atoms, fractional coordinates:
Rb 0.0000 0.3841 0.2500 x18
Hg 0.0000 0.0000 0.1881 x12

***

two) VASP calculation (PBE) on a relaxed Rb3Hg2 crystal.

* crystal system: orthorhombic

Cell: 5.5497 8.1639 11.2665 Å, 90.00 90.00 90.00°
Space group Immm (No. 71)
Inequivalent atoms, fractional coordinates:
Rb 0.0000 0.0000 0.0000 x2
Rb 0.0000 0.5000 0.2020 x4
Hg 0.0000 0.1853 0.5000 x4

***

Energies relative to the most stable structure, in kJ/mol of atoms: one) 1.8; two) 0.0.

***

one) VASP calculation (PBE) on a relaxed Rb2Hg3 crystal.

* crystal system: orthorhombic

Cell: 6.5981 12.4777 9.7265 Å, 90.00 90.00 90.00°
Space group Cmce (No. 64)
Inequivalent atoms, fractional coordinates:
Rb 0.0000 0.1582 0.0977 x8
Hg 0.0000 0.0000 0.5000 x4
Hg 0.2500 0.0963 0.7500 x8

***

two) VASP calculation (PBE) on a relaxed Rb2Hg3 crystal.

* crystal system: trigonal

Cell: 8.8268 8.8268 21.7168 Å, 90.00 90.00 120.00°
Space group R-3c (No. 167, hexagonal axes)
Inequivalent atoms, fractional coordinates:
Rb 0.0000 0.0000 0.0996 x12
Hg 0.0000 0.2060 0.2500 x18

***

Energies relative to the most stable structure, in kJ/mol of atoms: one) 0.0; two) 10.0.

***

one) VASP calculation (PBE) on a relaxed RbReHg3 crystal.

* crystal system: cubic

Cell: 5.4116 5.4116 5.4116 Å, 90.00 90.00 90.00°
Space group Pm-3m (No. 221)
Inequivalent atoms, fractional coordinates:
Rb 0.0000 0.0000 0.0000 x1
Re 0.5000 0.5000 0.5000 x1
Hg 0.0000 0.5000 0.5000 x3

***

two) VASP calculation (PBE) on a relaxed RbReHg3 crystal.

* crystal system: cubic

Cell: 6.6382 6.6382 6.6382 Å, 90.00 90.00 90.00°
Space group Pm-3m (No. 221)
Inequivalent atoms, fractional coordinates:
Rb 0.0000 0.0000 0.0000 x1
Re 0.5000 0.5000 0.5000 x1
Hg 0.0000 0.0000 0.5000 x3

***

Energies relative to the most stable structure, in kJ/mol of atoms: one) 0.0; two) 106.6.